Density functional theory data (PBE) for SrCeTcO6 after structural relaxation.

abc: 5.628 5.628 10.359
angles: 90.00 90.00 120.00
Site moments in Bohr magnetons follow the coordinates.
Atoms (fractional coordinates):
O 0.388 0.040 0.146  0.01
Ce 0.667 0.333 0.750  0.14
Tc 0.667 0.333 0.250  0.70
O 0.612 0.653 0.646  0.01
Tc 0.333 0.667 0.750  0.70
Sr 0.000 0.000 0.500  0.01
O 0.960 0.612 0.354  0.01
Sr 0.000 0.000 0.000  0.01
O 0.653 0.612 0.146  0.01
O 0.653 0.040 0.354  0.01
O 0.960 0.347 0.146  0.01
O 0.347 0.960 0.646  0.01
O 0.612 0.960 0.854  0.01
O 0.388 0.347 0.354  0.01
O 0.040 0.388 0.646  0.01
O 0.347 0.388 0.854  0.01
Ce 0.333 0.667 0.250  0.14
O 0.040 0.653 0.854  0.01

Formation energy from raw total energies, eV per atom: -2.37
Theoretical density, g/cm3: 4.9
M_tot, μB/f.u.: 1.03
Symmetry: No. 163